No. 1
VASP calculation (PBE) on AlReSnF2 after structural relaxation.

Properties
For the formation energy (no corrections), the calculation gives -31.5 kJ/mol of atoms. Its density of states at the Fermi level is 0.571 states/eV/atom.

```
data_AlReSnF2
_chemical_formula_sum 'Al1 Re1 Sn1 F2'
_symmetry_space_group_name_H-M 'P 4/m m m'
_symmetry_Int_Tables_number 123
_symmetry_space_group_name_Hall '-P 4 2'
_cell_length_a 4.114
_cell_length_b 4.114
_cell_length_c 5.635
_cell_angle_alpha 90.00
_cell_angle_beta 90.00
_cell_angle_gamma 90.00
loop_
_atom_site_label
_atom_site_type_symbol
_atom_site_fract_x
_atom_site_fract_y
_atom_site_fract_z
Al1 Al 0.000 0.000 0.000
Re1 Re 0.500 0.500 0.500
Sn1 Sn 0.500 0.500 0.000
F1 F 0.000 0.500 0.500
```

No. 2
VASP calculation (PBE) on La2CuRhS after structural relaxation.

Properties
For the formation energy (no corrections), the calculation gives -57.7 kJ/mol of atoms. Its density of states at the Fermi level is 0.560 states/eV/atom.

```
data_La2CuRhS
_chemical_formula_sum 'La2 Cu1 Rh1 S1'
_symmetry_space_group_name_H-M 'P 4/m m m'
_symmetry_Int_Tables_number 123
_symmetry_space_group_name_Hall '-P 4 2'
_cell_length_a 5.386
_cell_length_b 5.386
_cell_length_c 4.643
_cell_angle_alpha 90.00
_cell_angle_beta 90.00
_cell_angle_gamma 90.00
loop_
_atom_site_label
_atom_site_type_symbol
_atom_site_fract_x
_atom_site_fract_y
_atom_site_fract_z
La1 La 0.000 0.500 0.000
Cu1 Cu 0.000 0.000 0.500
Rh1 Rh 0.000 0.000 0.000
S1 S 0.500 0.500 0.500
```

No. 3
VASP calculation (PBE) on SmCdCuPd after structural relaxation.

Properties
As for the total energy: -4.15 eV/atom. Its density of states at the Fermi level is 0.591 states/eV/atom.

```
data_SmCdCuPd
_chemical_formula_sum 'Sm4 Cd4 Cu4 Pd4'
_symmetry_space_group_name_H-M 'F -4 3 m'
_symmetry_Int_Tables_number 216
_symmetry_space_group_name_Hall 'F -4 2 3'
_cell_length_a 6.841
_cell_length_b 6.841
_cell_length_c 6.841
_cell_angle_alpha 90.00
_cell_angle_beta 90.00
_cell_angle_gamma 90.00
loop_
_atom_site_label
_atom_site_type_symbol
_atom_site_fract_x
_atom_site_fract_y
_atom_site_fract_z
Sm1 Sm 0.000 0.000 0.000
Cd1 Cd 0.000 0.000 0.500
Cu1 Cu 0.250 0.250 0.250
Pd1 Pd 0.250 0.250 0.750
```

No. 4
VASP calculation (PBE) on YEr4In2 after structural relaxation.

Properties
Its density of states at the Fermi level is 0.883 states/eV/atom. Its excess energy over the best structure of this formula in the dataset is 32 meV/atom.

```
data_YEr4In2
_chemical_formula_sum 'Y2 Er8 In4'
_symmetry_space_group_name_H-M 'P 1 21/c 1'
_symmetry_Int_Tables_number 14
_cell_length_a 6.666
_cell_length_b 10.645
_cell_length_c 6.776
_cell_angle_alpha 90.00
_cell_angle_beta 118.83
_cell_angle_gamma 90.00
loop_
_symmetry_equiv_pos_as_xyz
'x,y,z'
'-x,-y,-z'
'-x,y+1/2,-z+1/2'
'x,-y+1/2,z+1/2'
loop_
_atom_site_label
_atom_site_type_symbol
_atom_site_fract_x
_atom_site_fract_y
_atom_site_fract_z
Y1 Y 0.000 0.000 0.000
Er1 Er 0.067 0.169 0.528
Er2 Er 0.414 0.739 0.460
In1 In 0.465 0.512 0.213
```

No. 5
VASP calculation (PBE) on TmCo22B6 after structural relaxation.

Properties
As for the total energy: -7.05 eV/atom. Its density of states at the Fermi level is 1.020 states/eV/atom.

```
data_TmCo22B6
_chemical_formula_sum 'Tm4 Co88 B24'
_symmetry_space_group_name_H-M 'F m -3 m'
_symmetry_Int_Tables_number 225
_symmetry_space_group_name_Hall '-F 4 2 3'
_cell_length_a 10.537
_cell_length_b 10.537
_cell_length_c 10.537
_cell_angle_alpha 90.00
_cell_angle_beta 90.00
_cell_angle_gamma 90.00
loop_
_atom_site_label
_atom_site_type_symbol
_atom_site_fract_x
_atom_site_fract_y
_atom_site_fract_z
Tm1 Tm 0.000 0.000 0.000
Co1 Co 0.000 0.174 0.174
Co2 Co 0.119 0.119 0.381
Co3 Co 0.250 0.250 0.250
B1 B 0.000 0.000 0.273
```

No. 6
VASP calculation (PBE) on CaYHoEr after structural relaxation.

Properties
As for the total energy: -4.23 eV/atom. Its density of states at the Fermi level is 2.009 states/eV/atom.

```
data_CaYHoEr
_chemical_formula_sum 'Ca4 Y4 Ho4 Er4'
_symmetry_space_group_name_H-M 'F -4 3 m'
_symmetry_Int_Tables_number 216
_symmetry_space_group_name_Hall 'F -4 2 3'
_cell_length_a 8.102
_cell_length_b 8.102
_cell_length_c 8.102
_cell_angle_alpha 90.00
_cell_angle_beta 90.00
_cell_angle_gamma 90.00
loop_
_atom_site_label
_atom_site_type_symbol
_atom_site_fract_x
_atom_site_fract_y
_atom_site_fract_z
Ca1 Ca 0.000 0.000 0.000
Y1 Y 0.250 0.250 0.750
Ho1 Ho 0.250 0.250 0.250
Er1 Er 0.000 0.000 0.500
```

No. 7
VASP calculation (PBE) on TmHfGeO6 after structural relaxation.

Properties
For the formation energy (no corrections), the calculation gives -250.0 kJ/mol of atoms. Its density of states at the Fermi level is 0.538 states/eV/atom.

```
data_TmHfGeO6
_chemical_formula_sum 'Tm2 Hf2 Ge2 O12'
_symmetry_space_group_name_H-M 'P 42 n m'
_symmetry_Int_Tables_number 102
_cell_length_a 4.822
_cell_length_b 4.822
_cell_length_c 9.579
_cell_angle_alpha 90.00
_cell_angle_beta 90.00
_cell_angle_gamma 90.00
loop_
_symmetry_equiv_pos_as_xyz
'x,y,z'
'-y+1/2,x+1/2,z+1/2'
'-x,-y,z'
'y+1/2,-x+1/2,z+1/2'
'-x+1/2,y+1/2,z+1/2'
'y,x,z'
'x+1/2,-y+1/2,z+1/2'
'-y,-x,z'
loop_
_atom_site_label
_atom_site_type_symbol
_atom_site_fract_x
_atom_site_fract_y
_atom_site_fract_z
Tm1 Tm 0.000 0.000 0.000
Hf1 Hf 0.000 0.000 0.337
Ge1 Ge 0.000 0.000 0.668
O1 O 0.180 0.180 0.515
O2 O 0.196 0.196 0.814
O3 O 0.216 0.216 0.182
```

No. 8
VASP calculation (PBE) on KMgZr2 after structural relaxation.

Properties
As for the total energy: -4.11 eV/atom. Its density of states at the Fermi level is 1.021 states/eV/atom.

```
data_KMgZr2
_chemical_formula_sum 'K4 Mg4 Zr8'
_symmetry_space_group_name_H-M 'F -4 3 m'
_symmetry_Int_Tables_number 216
_symmetry_space_group_name_Hall 'F -4 2 3'
_cell_length_a 7.599
_cell_length_b 7.599
_cell_length_c 7.599
_cell_angle_alpha 90.00
_cell_angle_beta 90.00
_cell_angle_gamma 90.00
loop_
_atom_site_label
_atom_site_type_symbol
_atom_site_fract_x
_atom_site_fract_y
_atom_site_fract_z
K1 K 0.000 0.000 0.000
Mg1 Mg 0.250 0.250 0.750
Zr1 Zr 0.000 0.000 0.500
Zr2 Zr 0.250 0.250 0.250
```